Compound: NdSmAg
Source: OQMD via LeMat-Bulk
Functional: PBE-GGA
Structure: relaxed

Values from the calculation:
ΔE to the lowest computed polymorph ... 0.000 eV per atom
Space-group type ... F-43m, No. 216
Magnetization ... 0.005 μB per formula unit

```
data_NdSmAg
_chemical_formula_sum 'Nd1 Sm1 Ag1'
_cell_length_a 5.012
_cell_length_b 5.012
_cell_length_c 5.012
_cell_angle_alpha 60.00
_cell_angle_beta 60.00
_cell_angle_gamma 60.00
_symmetry_space_group_name_H-M 'P 1'
_symmetry_Int_Tables_number 1
_symmetry_space_group_name_Hall 'P 1'
loop_
_atom_site_label
_atom_site_type_symbol
_atom_site_fract_x
_atom_site_fract_y
_atom_site_fract_z
Nd1 Nd 0.000 0.000 0.000
Sm1 Sm 0.750 0.750 0.750
Ag1 Ag 0.500 0.500 0.500
```

Compound: TlCoCuTeSe2
Source: OQMD via LeMat-Bulk
Functional: PBE-GGA
Structure: relaxed

Values from the calculation:
Uncorrected energy ... -4.0404 eV/atom
Space-group type ... Cmcm, No. 63
Magnetization ... 0.002 μB per formula unit

```
data_TlCoCuTeSe2
_chemical_formula_sum 'Tl2 Co2 Cu2 Te2 Se4'
_cell_length_a 7.735
_cell_length_b 7.735
_cell_length_c 10.046
_cell_angle_alpha 90.00
_cell_angle_beta 90.00
_cell_angle_gamma 153.20
_symmetry_space_group_name_H-M 'P 1'
_symmetry_Int_Tables_number 1
_symmetry_space_group_name_Hall 'P 1'
loop_
_atom_site_label
_atom_site_type_symbol
_atom_site_fract_x
_atom_site_fract_y
_atom_site_fract_z
Tl1 Tl 0.229 0.771 0.750
Tl2 Tl 0.771 0.229 0.250
Co1 Co 0.000 0.000 0.000
Co2 Co 0.000 0.000 0.500
Cu1 Cu 0.442 0.558 0.250
Cu2 Cu 0.558 0.442 0.750
Te1 Te 0.068 0.932 0.250
Te2 Te 0.932 0.068 0.750
Se1 Se 0.394 0.606 0.026
Se2 Se 0.394 0.606 0.474
Se3 Se 0.606 0.394 0.526
Se4 Se 0.606 0.394 0.974
```

Compound: GaNiHgW
Source: OQMD via LeMat-Bulk
Functional: PBE-GGA
Structure: relaxed

Values from the calculation:
Uncorrected energy ... -4.7148 eV/atom
Space-group type ... F-43m, No. 216
Magnetization ... 1.496 μB per formula unit

```
data_GaNiHgW
_chemical_formula_sum 'Ga1 Ni1 Hg1 W1'
_cell_length_a 4.498
_cell_length_b 4.498
_cell_length_c 4.498
_cell_angle_alpha 60.00
_cell_angle_beta 60.00
_cell_angle_gamma 60.00
_symmetry_space_group_name_H-M 'P 1'
_symmetry_Int_Tables_number 1
_symmetry_space_group_name_Hall 'P 1'
loop_
_atom_site_label
_atom_site_type_symbol
_atom_site_fract_x
_atom_site_fract_y
_atom_site_fract_z
Ga1 Ga 0.000 0.000 0.000
Ni1 Ni 0.250 0.250 0.250
Hg1 Hg 0.750 0.750 0.750
W1 W 0.500 0.500 0.500
```

Compound: Gd2ErBi3
Source: OQMD via LeMat-Bulk
Functional: PBE-GGA
Structure: relaxed

Values from the calculation:
Uncorrected energy ... -5.2198 eV/atom
Space-group type ... P-3m1, No. 164
Magnetization ... 0.002 μB per formula unit

```
data_Gd2ErBi3
_chemical_formula_sum 'Gd2 Er1 Bi3'
_cell_length_a 4.456
_cell_length_b 4.456
_cell_length_c 10.971
_cell_angle_alpha 90.00
_cell_angle_beta 90.00
_cell_angle_gamma 120.00
_symmetry_space_group_name_H-M 'P 1'
_symmetry_Int_Tables_number 1
_symmetry_space_group_name_Hall 'P 1'
loop_
_atom_site_label
_atom_site_type_symbol
_atom_site_fract_x
_atom_site_fract_y
_atom_site_fract_z
Gd1 Gd 0.333 0.667 0.333
Gd2 Gd 0.667 0.333 0.667
Er1 Er 0.000 0.000 0.000
Bi1 Bi 0.000 0.000 0.500
Bi2 Bi 0.333 0.667 0.835
Bi3 Bi 0.667 0.333 0.165
```